{"formula": "BaMg2NiF8", "functional": "PBE with a Hubbard U", "state": "relaxed", "space_group": "No. 2", "dft_energy_ev_per_cell": -61.0, "lattice": [[-3.016, 1.694, -2.971], [3.034, -0.492, -3.870], [-3.363, -7.016, -0.855]], "species": ["F", "F", "Ba", "F", "F", "F", "F", "Ni", "F", "Mg", "F", "Mg"], "frac_coords": [[0.672, 0.717, 0.986], [0.186, 0.762, 0.791], [0.000, 0.000, 0.500], [0.328, 0.283, 0.014], [0.845, 0.224, 0.818], [0.155, 0.776, 0.182], [0.814, 0.238, 0.209], [0.000, 0.000, 0.000], [0.435, 0.282, 0.589], [0.475, 0.457, 0.814], [0.565, 0.718, 0.411], [0.525, 0.543, 0.186]]}

***

{"formula": "BaMgNiF7", "functional": "PBE with a Hubbard U", "state": "relaxed", "space_group": "No. 14", "dft_energy_ev_per_cell": -193.9, "lattice": [[-5.931, 6.774, 4.138], [-2.973, -4.090, 2.435], [5.484, -0.032, 7.913]], "species": ["F", "F", "F", "Mg", "F", "F", "F", "F", "F", "F", "F", "Mg", "Mg", "Ba", "F", "F", "Mg", "F", "F", "F", "F", "Ni", "F", "Ni", "Ni", "Ba", "F", "F", "F", "F", "F", "F", "F", "Ba", "F", "Ni", "Ba", "F", "F", "F"], "frac_coords": [[0.544, 0.372, 0.134], [0.220, 0.025, 0.249], [0.445, 0.893, 0.126], [0.602, 0.699, 0.189], [0.045, 0.117, 0.866], [0.720, 0.975, 0.251], [0.286, 0.469, 0.249], [0.459, 0.379, 0.625], [0.044, 0.628, 0.366], [0.786, 0.531, 0.251], [0.959, 0.621, 0.875], [0.102, 0.301, 0.311], [0.898, 0.699, 0.689], [0.819, 0.265, 0.999], [0.280, 0.025, 0.749], [0.055, 0.893, 0.626], [0.398, 0.301, 0.811], [0.555, 0.107, 0.874], [0.041, 0.379, 0.125], [0.813, 0.741, 0.496], [0.455, 0.117, 0.366], [0.386, 0.195, 0.189], [0.541, 0.621, 0.375], [0.614, 0.805, 0.811], [0.886, 0.805, 0.311], [0.681, 0.265, 0.499], [0.956, 0.372, 0.634], [0.780, 0.975, 0.751], [0.456, 0.628, 0.866], [0.187, 0.259, 0.504], [0.214, 0.469, 0.749], [0.313, 0.259, 0.004], [0.687, 0.741, 0.996], [0.319, 0.735, 0.501], [0.955, 0.883, 0.134], [0.114, 0.195, 0.689], [0.181, 0.735, 0.001], [0.545, 0.883, 0.634], [0.714, 0.531, 0.751], [0.945, 0.107, 0.374]]}